Density functional theory data (GGA-PBE) for an optimized crystal structure of Au14C.

abc: 6.763 6.763 6.763
angles: 77.68 77.68 77.68
Element x y z (fractional)
Au 0.358 0.358 0.358
Au 0.718 0.718 0.056
Au 0.642 0.642 0.642
Au 0.282 0.282 0.944
C 0.500 0.500 0.500
Au 0.944 0.282 0.282
Au 0.677 0.323 0.000
Au 0.000 0.677 0.323
Au 0.323 0.000 0.677
Au 0.323 0.677 0.000
Au 0.000 0.323 0.677
Au 0.677 0.000 0.323
Au 0.282 0.944 0.282
Au 0.718 0.056 0.718
Au 0.056 0.718 0.718

- Electronic total energy: -3.246 eV per atom
- SG: R-3m (166)



Density functional theory data (GGA-PBE) for an optimized crystal structure of NaPmB.

abc: 4.549 4.549 4.549
angles: 60.00 60.00 60.00
Element x y z (fractional)
B 0.500 0.500 0.500
Na 0.000 0.000 0.000
Pm 0.250 0.250 0.250

- Electronic total energy: -3.230 eV per atom
- Distance to the lowest polymorph of the same formula: 0.548 eV/atom
- SG: F-43m (216)



Density functional theory data (GGA-PBE) for an optimized crystal structure of CuSbPdAu.

abc: 4.613 4.613 4.613
angles: 60.00 60.00 60.00
Element x y z (fractional)
Sb 0.000 0.000 0.000
Cu 0.750 0.750 0.750
Pd 0.250 0.250 0.250
Au 0.500 0.500 0.500

- Electronic total energy: -4.172 eV per atom
- Distance to the lowest polymorph of the same formula: 0.000 eV/atom
- SG: F-43m (216)



Density functional theory data (GGA-PBE) for an optimized crystal structure of SrPaAsO.

abc: 4.443 4.443 9.978
angles: 90.00 90.00 90.00
Last column: magnetic moment on the atom in μB.
Element x y z (fractional)
Sr 0.000 0.500 0.904  0.00
As 0.000 0.500 0.308  0.01
O 0.000 0.000 0.000  -0.01
Pa 0.000 0.000 0.500  0.54
Pa 0.500 0.500 0.500  0.54
As 0.500 0.000 0.692  0.01
O 0.500 0.500 0.000  -0.01
Sr 0.500 0.000 0.096  0.00

- Electronic total energy: -5.915 eV per atom
- Distance to the lowest polymorph of the same formula: 0.520 eV/atom
- SG: P4/nmm (129)



Density functional theory data (GGA-PBE) for an optimized crystal structure of YLuInNi.

abc: 4.977 4.977 4.977
angles: 60.00 60.00 60.00
Element x y z (fractional)
In 0.000 0.000 0.000
Ni 0.750 0.750 0.750
Lu 0.250 0.250 0.250
Y 0.500 0.500 0.500

- Electronic total energy: -4.872 eV per atom
- SG: F-43m (216)



Density functional theory data (GGA-PBE) for an optimized crystal structure of Er2TmLuGa2.

abc: 5.092 5.092 6.508
angles: 90.00 90.00 120.00
Element x y z (fractional)
Ga 0.000 0.000 0.500
Tm 0.667 0.333 0.500
Er 0.333 0.667 0.249
Lu 0.000 0.000 0.000
Ga 0.667 0.333 0.000
Er 0.333 0.667 0.751

- Electronic total energy: -4.426 eV per atom
- SG: P-6m2 (187)



Density functional theory data (GGA-PBE) for an optimized crystal structure of NdGd2In3CuPt2.

abc: 3.920 7.718 7.718
angles: 120.19 90.00 90.00
Element x y z (fractional)
Cu 0.000 0.998 0.998
In 0.500 0.249 0.998
In 0.500 0.752 0.752
In 0.500 0.998 0.249
Gd 0.000 0.000 0.587
Gd 0.000 0.587 0.000
Pt 0.500 0.332 0.671
Nd 0.000 0.413 0.413
Pt 0.500 0.671 0.332

- Electronic total energy: -5.053 eV per atom
- SG: Amm2 (38)



Density functional theory data (GGA-PBE) for an optimized crystal structure of BaPaAs2.

abc: 4.310 4.310 7.879
angles: 105.88 105.88 60.00
Last column: magnetic moment on the atom in μB.
Element x y z (fractional)
Ba 0.500 0.500 0.500  0.02
As 0.734 0.734 0.202  -0.02
Pa 0.000 0.000 0.000  0.45
As 0.266 0.266 0.798  -0.02

- Electronic total energy: -6.275 eV per atom
- SG: R-3m (166)